Computed, not measured: a geometry-optimized NdDyAu2 structure at the PBE level of DFT.

abc: 4.7185 3.7903 11.1312
angles: 90.00 90.00 90.00
Closest atoms and distances in Å follow each position.
Space group Amm2 (No. 38)
Inequivalent atoms, fractional coordinates:
Nd 0.0000 0.0000 0.0000 x2  7 Au 3.03-3.17
Dy 0.5000 0.0000 0.7229 x2  7 Au 3.07-3.14
Au 0.0000 0.0000 0.2720 x2  3 Nd 3.03-3.17, 2 Au 3.06, 4 Dy 3.08
Au 0.5000 0.0000 0.4475 x2  2 Au 3.06, 3 Dy 3.07-3.14, 4 Nd 3.08

Properties
M_tot, μB per formula unit: 0.01
DFT formation energy, eV/atom: -0.838